## a
# AcThSn

A geometry-optimized AcThSn structure (GGA-PBE, Alexandria).

Values from the calculation:
N(E_F) = 3.33 states/eV/f.u.

a = 5.548 Å, b = 5.548 Å, c = 3.865 Å
α = 90.00°, β = 90.00°, γ = 120.00°
Atoms (fractional coordinates):
Ac 0.000 0.000 0.000
Th 0.667 0.333 0.476
Sn 0.333 0.667 0.610

## b
# AcThSn

A geometry-optimized AcThSn structure (GGA-PBE, Alexandria).

Values from the calculation:
N(E_F) = 4.37 states/eV/f.u.

a = 8.935 Å, b = 8.935 Å, c = 8.935 Å
α = 97.25°, β = 97.25°, γ = 138.38°
Atoms (fractional coordinates):
Ac 0.000 0.239 0.239
Ac 0.000 0.761 0.761
Ac 0.239 0.000 0.239
Ac 0.761 0.000 0.761
Th 0.321 0.321 0.642
Th 0.321 0.679 0.000
Th 0.679 0.321 0.000
Th 0.679 0.679 0.358
Sn 0.122 0.500 0.622
Sn 0.500 0.122 0.622
Sn 0.500 0.878 0.378
Sn 0.878 0.500 0.378

## c
# AcThSn

A geometry-optimized AcThSn structure (GGA-PBE, Alexandria).

Values from the calculation:
N(E_F) = 2.40 states/eV/f.u.

a = 6.352 Å, b = 6.352 Å, c = 8.545 Å
α = 109.32°, β = 109.32°, γ = 38.69°
Atoms (fractional coordinates):
Ac 0.156 0.156 0.094
Ac 0.844 0.844 0.906
Th 0.139 0.139 0.549
Th 0.861 0.861 0.451
Sn 0.480 0.480 0.248
Sn 0.520 0.520 0.752

## d
# AcThSn

A geometry-optimized AcThSn structure (GGA-PBE, Alexandria).

Values from the calculation:
N(E_F) = 3.16 states/eV/f.u.

a = 4.778 Å, b = 4.778 Å, c = 9.250 Å
α = 90.00°, β = 90.00°, γ = 90.00°
Atoms (fractional coordinates):
Ac 0.250 0.250 0.144
Ac 0.750 0.750 0.856
Th 0.250 0.750 0.500
Th 0.750 0.250 0.500
Sn 0.250 0.250 0.760
Sn 0.750 0.750 0.240

Energetically preferred structure: d | next structure: +130 meV/atom